No. 1
K2RuW | GGA-PBE | relaxed

Results
**Space-group type**: I4/mmm, No. 139
**Energy above the most stable polymorph in this dataset**: 0.602 eV per atom

Geometry as POSCAR:
```
K2RuW
1.0
-5.893 2.467 -1.170
-5.506 -2.809 -1.995
5.006 -0.278 4.129
K W Ru
2 1 1
direct
0.000 0.000 0.000
0.500 0.500 0.000
0.750 0.250 0.500
0.250 0.750 0.500
```


No. 2
KRuW2 | GGA-PBE | relaxed

Results
**Space-group type**: Cmmm, No. 65
**Energy above the most stable polymorph in this dataset**: 0.158 eV per atom

Geometry as POSCAR:
```
KRuW2
1.0
2.755 -0.006 0.000
-1.121 2.517 0.000
0.000 0.000 10.731
K W Ru
1 2 1
direct
0.500 0.500 0.250
0.000 0.000 0.956
0.000 0.000 0.544
0.500 0.500 0.750
```


No. 3
KRuW | GGA-PBE | relaxed

Results
**Space-group type**: F-43m, No. 216
**Energy above the most stable polymorph in this dataset**: 2.453 eV per atom

Geometry as POSCAR:
```
KRuW
1.0
-3.715 1.707 -1.924
-1.368 -1.533 -4.024
-3.743 -2.512 -0.307
K Ru W
1 1 1
direct
0.750 0.750 0.750
0.000 0.000 0.000
0.500 0.500 0.500
```


No. 4
KRuW3 | GGA-PBE | relaxed

Results
**Space-group type**: Pm-3m, No. 221
**Energy above the most stable polymorph in this dataset**: 0.000 eV per atom

Geometry as POSCAR:
```
KRuW3
1.0
4.846 0.000 0.000
0.000 4.846 0.000
0.000 0.000 4.846
K Ru W
1 1 3
direct
0.500 0.500 0.500
0.000 0.000 0.000
0.000 0.000 0.500
0.500 0.000 0.000
0.000 0.500 0.000
```


No. 5
KRuW2 | GGA-PBE | relaxed

Results
**Space-group type**: P4/mmm, No. 123
**Energy above the most stable polymorph in this dataset**: 1.086 eV per atom

Geometry as POSCAR:
```
KRuW2
1.0
-1.524 -3.023 -3.550
1.086 -3.027 2.112
-3.492 -0.130 1.610
Ru W K
1 2 1
direct
0.500 0.000 0.500
0.000 0.000 0.000
0.000 0.500 0.500
0.500 0.500 0.000
```


No. 6
K2RuW | GGA-PBE | relaxed

Results
**Space-group type**: R-3m, No. 166
**Energy above the most stable polymorph in this dataset**: 0.644 eV per atom

Geometry as POSCAR:
```
K2RuW
1.0
12.138 -0.001 -0.001
11.806 2.818 -0.001
11.806 1.389 2.452
Ru K W
1 2 1
direct
0.250 0.250 0.250
0.505 0.505 0.505
0.995 0.995 0.995
0.750 0.750 0.750
```


No. 7
KRuW4 | GGA-PBE | relaxed

Results
**Space-group type**: F-43m, No. 216

Geometry as POSCAR:
```
KRuW4
1.0
-3.954 -3.135 1.870
-4.895 2.065 0.854
-4.095 -1.369 -3.211
K W Ru
1 4 1
direct
0.750 0.750 0.750
0.376 0.376 0.873
0.376 0.873 0.376
0.873 0.376 0.376
0.376 0.376 0.376
0.000 0.000 0.000
```


No. 8
K2RuW | GGA-PBE | relaxed

Results
**Space-group type**: Imm2, No. 44
**Energy above the most stable polymorph in this dataset**: 0.348 eV per atom

Geometry as POSCAR:
```
K2RuW
1.0
6.718 -0.013 -0.003
2.961 6.030 0.003
-3.915 -4.494 3.098
K W Ru
2 1 1
direct
0.015 0.015 0.000
0.724 0.224 0.500
0.318 0.818 0.500
0.444 0.444 0.000
```


No. 9
KRuW | GGA-PBE | relaxed

Results
**Space-group type**: P3m1, No. 156
**Energy above the most stable polymorph in this dataset**: 0.000 eV per atom

Geometry as POSCAR:
```
KRuW
1.0
-2.358 -0.228 1.664
2.549 -0.981 0.959
1.573 7.238 3.220
K W Ru
1 1 1
direct
0.000 0.000 0.011
0.667 0.333 0.617
0.333 0.667 0.371
```


No. 10
KRu4W | GGA-PBE | relaxed

Results
**Space-group type**: F-43m, No. 216

Geometry as POSCAR:
```
KRu4W
1.0
3.931 -3.406 -0.045
-0.738 -4.846 1.741
-0.050 -3.985 -3.342
Ru W K
4 1 1
direct
0.376 0.873 0.376
0.873 0.376 0.376
0.376 0.376 0.873
0.376 0.376 0.376
0.750 0.750 0.750
0.000 0.000 0.000
```


No. 11
K2RuW | GGA-PBE | relaxed

Results
**Space-group type**: P4/mmm, No. 123
**Energy above the most stable polymorph in this dataset**: 0.721 eV per atom

Geometry as POSCAR:
```
K2RuW
1.0
2.717 0.000 0.000
0.000 2.717 0.000
0.000 0.000 11.815
Ru K W
1 2 1
direct
0.500 0.500 0.250
0.000 0.000 0.486
0.000 0.000 0.014
0.500 0.500 0.750
```


No. 12
KRuW2 | GGA-PBE | relaxed

Results
**Space-group type**: Cmmm, No. 65
**Energy above the most stable polymorph in this dataset**: 0.801 eV per atom

Geometry as POSCAR:
```
KRuW2
1.0
-2.042 -3.826 3.677
-1.374 -0.022 -5.517
2.058 -1.585 -0.506
W Ru K
2 1 1
direct
0.500 0.500 0.000
0.000 0.000 0.000
0.000 0.500 0.500
0.500 0.000 0.500
```


Number 1: spin magnetization 0.0 μB/f.u., DFT total energy -4.725 eV/atom. Number 2: spin magnetization 0.0 μB/f.u., DFT total energy -8.143 eV/atom. Number 3: spin magnetization 1.0 μB/f.u., DFT total energy -4.443 eV/atom. Number 4: spin magnetization 1.0 μB/f.u., DFT total energy -7.762 eV/atom. Number 5: spin magnetization 0.5 μB/f.u., DFT total energy -7.215 eV/atom. Number 6: spin magnetization 0.1 μB/f.u., DFT total energy -4.682 eV/atom. Number 7: spin magnetization 0.0 μB/f.u., DFT total energy -9.187 eV/atom. Number 8: spin magnetization 0.0 μB/f.u., DFT total energy -4.978 eV/atom. Number 9: spin magnetization 0.0 μB/f.u., DFT total energy -6.896 eV/atom. Number 10: spin magnetization 0.0 μB/f.u., DFT total energy -7.561 eV/atom. Number 11: spin magnetization 1.1 μB/f.u., DFT total energy -4.605 eV/atom. Number 12: spin magnetization 0.0 μB/f.u., DFT total energy -7.501 eV/atom.